Record 1
Crystalline Mn2Si4N7 at its relaxed geometry. Source: Alexandria via LeMat-Bulk, functional PBE-GGA.

* E_tot: -8.159 eV per atom
* DOS(E_F): 2.67 states/eV per cell

POSCAR file:
```
Mn2Si4N7
1.0
0.447 4.484 -3.675
-0.924 -5.327 -2.142
-9.337 1.393 0.563
Mn Si N
4 8 14
direct
0.681 0.319 0.737 Mn
0.319 0.681 0.237 Mn
0.394 0.606 0.813 Mn
0.606 0.394 0.313 Mn
0.993 0.007 0.811 Si
0.007 0.993 0.311 Si
0.668 0.810 0.547 Si
0.189 0.811 0.556 Si
0.190 0.332 0.547 Si
0.332 0.190 0.047 Si
0.811 0.189 0.056 Si
0.810 0.668 0.047 Si
0.505 0.958 0.625 N
0.042 0.495 0.625 N
0.517 0.483 0.606 N
0.495 0.042 0.125 N
0.958 0.505 0.125 N
0.483 0.517 0.106 N
0.314 0.188 0.866 N
0.831 0.169 0.875 N
0.812 0.686 0.866 N
0.686 0.812 0.366 N
0.169 0.831 0.375 N
0.188 0.314 0.366 N
0.011 0.989 0.619 N
0.989 0.011 0.119 N
```

Record 2
Crystalline TaCdPd2 at its relaxed geometry. Source: Alexandria via LeMat-Bulk, functional PBE-GGA.

* energy relative to the elements: -0.195 eV per atom
* DOS(E_F): 2.62 states/eV per cell

POSCAR file:
```
TaCdPd2
1.0
2.876 0.000 0.000
0.000 4.880 0.000
0.000 0.000 4.880
Cd Pd Ta
1 2 1
direct
0.500 0.000 0.000 Cd
0.000 0.000 0.500 Pd
0.000 0.500 0.000 Pd
0.500 0.500 0.500 Ta
```

Record 3
Crystalline RbNb3Si at its relaxed geometry. Source: Alexandria via LeMat-Bulk, functional PBE-GGA.

* energy relative to the lowest polymorph listed for this composition: 0.000 eV per atom
* DOS(E_F): 4.77 states/eV per cell

POSCAR file:
```
RbNb3Si
1.0
4.931 0.000 0.000
0.000 4.931 0.000
0.000 0.000 4.931
Nb Si Rb
3 1 1
direct
0.000 0.500 0.000 Nb
0.000 0.000 0.500 Nb
0.500 0.000 0.000 Nb
0.000 0.000 0.000 Si
0.500 0.500 0.500 Rb
```

Number 1: volume 10.75 Å³/atom. Number 2: volume 17.12 Å³/atom. Number 3: volume 23.98 Å³/atom.